Entry 1:
VASP calculation (PBE-GGA) on an optimized crystal structure of ScCuPb2.

Geometry as POSCAR:
```
ScCuPb2
1.0
5.531 -0.011 -0.094
1.808 5.227 0.094
-3.622 -2.675 3.213
Cu Pb Sc
1 2 1
direct
0.250 0.750 0.500
0.500 0.500 0.000
0.000 0.000 0.000
0.750 0.250 0.500
```

Output
- crystal system = orthorhombic
- E (eV per atom) = -4.420
- total moment (μB per formula unit) = 0.0
- ΔE_f (eV per atom) = 0.042
- E above lowest polymorph (meV per atom) = 113
- symmetry = No. 71
- mass density (g cm⁻³) = 9.33

=====

Entry 2:
VASP calculation (PBE-GGA) on an optimized crystal structure of CeCuPt6.

Geometry as POSCAR:
```
CeCuPt6
1.0
4.084 0.000 0.000
0.000 4.084 0.000
0.000 0.000 7.937
Pt Cu Ce
6 1 1
direct
0.500 0.500 0.000
0.500 0.000 0.733
0.000 0.500 0.733
0.500 0.500 0.500
0.500 0.000 0.267
0.000 0.500 0.267
0.000 0.000 0.500
0.000 0.000 0.000
```

Output
- crystal system = tetragonal
- E (eV per atom) = -6.313
- total moment (μB per formula unit) = 0.0
- ΔE_f (eV per atom) = -0.529
- symmetry = No. 123
- mass density (g cm⁻³) = 17.24

=====

Entry 3:
VASP calculation (PBE-GGA) on an optimized crystal structure of NiBi2POs.

Geometry as POSCAR:
```
NiBi2POs
1.0
-3.569 -3.887 0.989
0.486 -1.398 -3.741
3.958 -3.199 1.710
Bi Ni P Os
2 1 1 1
direct
0.500 0.000 0.000
0.000 0.000 0.500
0.000 0.500 0.000
0.000 0.000 0.000
0.500 0.500 0.500
```

Output
- crystal system = tetragonal
- E (eV per atom) = -4.911
- total moment (μB per formula unit) = 1.4
- ΔE_f (eV per atom) = 1.126
- symmetry = No. 123
- mass density (g cm⁻³) = 9.99

=====

Entry 4:
VASP calculation (PBE-GGA) on an optimized crystal structure of TiSi2Tc3.

Geometry as POSCAR:
```
TiSi2Tc3
1.0
-0.171 -4.513 -2.048
6.384 1.779 1.548
-1.760 -2.126 4.831
Ti Si Tc
2 4 6
direct
0.795 0.000 0.750
0.205 0.000 0.250
0.655 0.298 0.075
0.357 0.702 0.425
0.643 0.298 0.575
0.345 0.702 0.925
0.196 0.368 0.094
0.828 0.632 0.406
0.804 0.632 0.906
0.287 0.000 0.750
0.713 0.000 0.250
0.172 0.368 0.594
```

Output
- crystal system = monoclinic
- E (eV per atom) = -8.691
- total moment (μB per formula unit) = 0.0
- uncorrected formation energy (eV per atom) = -0.3843
- symmetry = No. 15
- mass density (g cm⁻³) = 7.74

=====

Entry 5:
VASP calculation (PBE-GGA) on an optimized crystal structure of NaCe2I8.

Geometry as POSCAR:
```
NaCe2I8
1.0
6.269 0.095 0.072
0.047 10.075 0.187
0.047 2.893 9.652
Ce I Na
2 8 1
direct
0.739 0.780 0.780
0.261 0.220 0.220
0.251 0.292 0.912
0.251 0.912 0.292
0.750 0.600 0.600
0.250 0.400 0.400
0.749 0.088 0.708
0.749 0.708 0.088
0.241 0.786 0.786
0.759 0.214 0.214
0.000 0.000 0.000
```

Output
- crystal system = monoclinic
- E (eV per atom) = -3.451
- total moment (μB per formula unit) = 1.0
- uncorrected formation energy (eV per atom) = -1.1247
- E above lowest polymorph (meV per atom) = 114
- symmetry = No. 12
- mass density (g cm⁻³) = 3.61

=====

Entry 6:
VASP calculation (PBE-GGA) on an optimized crystal structure of BaCa2CuOs.

Geometry as POSCAR:
```
BaCa2CuOs
1.0
5.511 0.000 0.000
0.000 5.791 0.000
0.000 0.000 5.511
Ca Ba Cu Os
2 1 1 1
direct
0.000 0.000 0.500
0.500 0.000 0.000
0.000 0.500 0.000
0.500 0.500 0.500
0.000 0.000 0.000
```

Output
- crystal system = tetragonal
- E (eV per atom) = -3.702
- total moment (μB per formula unit) = 0.0
- ΔE_f (eV per atom) = 0.549
- symmetry = No. 123
- mass density (g cm⁻³) = 4.45

=====

Entry 7:
VASP calculation (PBE-GGA) on an optimized crystal structure of Tb14PrMg.

Geometry as POSCAR:
```
Tb14PrMg
1.0
-6.169 -3.172 -1.471
1.890 -0.514 -6.815
4.174 -8.968 1.834
Tb Mg Pr
14 1 1
direct
0.375 0.625 0.750
0.625 0.875 0.500
0.375 0.625 0.250
0.125 0.875 0.000
0.875 0.125 0.750
0.625 0.375 0.000
0.625 0.875 0.000
0.875 0.125 0.250
0.375 0.125 0.250
0.125 0.375 0.000
0.375 0.125 0.750
0.875 0.625 0.750
0.875 0.625 0.250
0.125 0.375 0.500
0.126 0.874 0.500
0.625 0.375 0.500
```

Output
- crystal system = orthorhombic
- E (eV per atom) = -4.434
- total moment (μB per formula unit) = 0.0
- ΔE_f (eV per atom) = 0.016
- symmetry = No. 38
- mass density (g cm⁻³) = 7.85

=====

Entry 8:
VASP calculation (PBE-GGA) on an optimized crystal structure of La4Dy3Tm2.

Geometry as POSCAR:
```
La4Dy3Tm2
1.0
-3.470 2.111 3.164
-5.653 -0.781 -5.679
1.757 -7.446 2.706
La Tm Dy
4 2 3
direct
0.224 0.332 0.448
0.554 0.328 0.107
0.446 0.672 0.893
0.776 0.668 0.552
0.332 0.000 0.664
0.668 0.000 0.336
0.000 0.000 0.000
0.888 0.328 0.776
0.112 0.672 0.224
```

Output
- crystal system = monoclinic
- E (eV per atom) = -4.684
- total moment (μB per formula unit) = 0.0
- ΔE_f (eV per atom) = 0.034
- E above lowest polymorph (meV per atom) = 0
- symmetry = No. 12
- mass density (g cm⁻³) = 7.57

=====

Entry 9:
VASP calculation (PBE-GGA) on an optimized crystal structure of CsMn4Ag3I12.

Geometry as POSCAR:
```
CsMn4Ag3I12
1.0
10.119 -0.304 -0.423
-2.733 9.748 -0.423
-2.733 -3.495 9.110
I Ag Mn Cs
12 3 4 1
direct
0.500 0.092 0.908
0.229 0.337 0.924
0.092 0.908 0.500
0.337 0.924 0.229
0.340 0.660 0.500
0.500 0.340 0.660
0.660 0.500 0.340
0.663 0.771 0.076
0.076 0.663 0.771
0.908 0.500 0.092
0.771 0.076 0.663
0.924 0.229 0.337
0.562 0.438 0.000
0.438 0.000 0.562
0.000 0.562 0.438
0.069 0.500 0.931
0.931 0.069 0.500
0.500 0.500 0.500
0.500 0.931 0.069
0.000 0.000 0.000
```

Output
- crystal system = trigonal
- E (eV per atom) = -3.609
- total moment (μB per formula unit) = 20.0
- uncorrected formation energy (eV per atom) = -0.3749
- symmetry = No. 155
- mass density (g cm⁻³) = 4.24

=====

Entry 10:
VASP calculation (PBE-GGA) on an optimized crystal structure of PmY2Ho4.

Geometry as POSCAR:
```
PmY2Ho4
1.0
-1.114 0.534 -5.976
-6.439 -0.563 1.150
-0.152 10.790 4.439
Ho Y Pm
8 4 2
direct
0.641 0.491 0.290
0.986 0.750 0.838
0.014 0.250 0.162
0.140 0.750 0.423
0.359 0.509 0.710
0.359 0.991 0.710
0.860 0.250 0.577
0.641 0.009 0.290
0.707 0.750 0.552
0.293 0.250 0.448
0.386 0.250 0.991
0.614 0.750 0.009
0.819 0.250 0.861
0.181 0.750 0.139
```

Output
- crystal system = monoclinic
- E (eV per atom) = -5.015
- total moment (μB per formula unit) = 0.0
- ΔE_f (eV per atom) = 0.127
- E above lowest polymorph (meV per atom) = 86
- symmetry = No. 11
- mass density (g cm⁻³) = 7.29

=====

Entry 11:
VASP calculation (PBE-GGA) on an optimized crystal structure of AlPd5.

Geometry as POSCAR:
```
AlPd5
1.0
-3.733 3.741 -2.962
-4.525 -3.970 0.689
2.825 2.384 5.647
Pd Al
10 2
direct
0.295 0.795 0.280
0.486 0.295 0.280
0.705 0.205 0.720
0.500 0.500 0.000
0.795 0.986 0.280
0.000 0.000 0.000
0.514 0.705 0.720
0.014 0.514 0.720
0.205 0.014 0.720
0.986 0.486 0.280
0.250 0.250 0.500
0.750 0.750 0.500
```

Output
- crystal system = tetragonal
- E (eV per atom) = -5.264
- total moment (μB per formula unit) = 0.0
- ΔE_f (eV per atom) = -0.313
- symmetry = No. 140
- mass density (g cm⁻³) = 9.70

=====

Entry 12:
VASP calculation (PBE-GGA) on an optimized crystal structure of GaReRu3.

Geometry as POSCAR:
```
GaReRu3
1.0
4.682 0.000 0.000
0.000 4.682 0.000
0.000 0.000 4.682
Ru Re Ga
3 1 1
direct
0.500 0.000 0.000
0.000 0.500 0.000
0.000 0.000 0.500
0.000 0.000 0.000
0.500 0.500 0.500
```

Output
- crystal system = cubic
- E (eV per atom) = -7.130
- total moment (μB per formula unit) = 0.7
- ΔE_f (eV per atom) = 1.531
- E above lowest polymorph (meV per atom) = 0
- symmetry = No. 221
- mass density (g cm⁻³) = 9.05

=====

Entry 13:
VASP calculation (PBE-GGA) on an optimized crystal structure of BaLi6In2.

Geometry as POSCAR:
```
BaLi6In2
1.0
-1.659 -4.572 -0.265
-2.278 -2.174 7.012
-7.240 -0.117 2.580
Li In Ba
6 2 1
direct
0.290 0.498 0.922
0.500 0.667 0.333
0.710 0.502 0.078
0.290 0.922 0.498
0.500 0.333 0.667
0.710 0.078 0.502
0.120 0.380 0.380
0.880 0.620 0.620
0.000 0.000 0.000
```

Output
- crystal system = orthorhombic
- E (eV per atom) = -2.226
- total moment (μB per formula unit) = 0.6
- ΔE_f (eV per atom) = -0.128
- symmetry = No. 71
- mass density (g cm⁻³) = 3.12

=====

Entry 14:
VASP calculation (PBE-GGA) on an optimized crystal structure of AlCuRu3.

Geometry as POSCAR:
```
AlCuRu3
1.0
4.451 0.000 0.000
0.000 4.451 0.000
0.000 0.000 4.451
Ru Cu Al
3 1 1
direct
0.000 0.500 0.000
0.500 0.000 0.000
0.000 0.000 0.500
0.000 0.000 0.000
0.500 0.500 0.500
```

Output
- crystal system = cubic
- E (eV per atom) = -5.710
- total moment (μB per formula unit) = 3.8
- ΔE_f (eV per atom) = 1.423
- E above lowest polymorph (meV per atom) = 102
- symmetry = No. 221
- mass density (g cm⁻³) = 7.41

=====

Entry 15:
VASP calculation (PBE-GGA) on an optimized crystal structure of Tl3HgCl5.

Geometry as POSCAR:
```
Tl3HgCl5
1.0
-3.258 -7.592 0.979
2.594 -0.108 7.801
-7.106 3.360 2.410
Hg Cl Tl
2 10 6
direct
0.000 0.500 0.000
0.000 0.000 0.500
0.790 0.163 0.663
0.210 0.337 0.163
0.210 0.663 0.837
0.790 0.837 0.337
0.210 0.163 0.663
0.500 0.000 0.000
0.790 0.663 0.837
0.500 0.500 0.500
0.790 0.337 0.163
0.210 0.837 0.337
0.500 0.841 0.659
0.500 0.659 0.159
0.500 0.159 0.341
0.000 0.000 0.000
0.000 0.500 0.500
0.500 0.341 0.841
```

Output
- crystal system = tetragonal
- E (eV per atom) = -2.669
- total moment (μB per formula unit) = 0.0
- uncorrected formation energy (eV per atom) = -0.8210
- symmetry = No. 127
- mass density (g cm⁻³) = 5.85

=====

Entry 16:
VASP calculation (PBE-GGA) on an optimized crystal structure of TiPPb2.

Geometry as POSCAR:
```
TiPPb2
1.0
8.054 0.000 0.000
0.000 8.054 0.000
4.027 4.027 2.997
Pb P Ti
4 2 2
direct
0.375 0.394 0.750
0.875 0.856 0.750
0.144 0.625 0.250
0.606 0.125 0.250
0.250 0.750 0.500
0.500 0.500 0.000
0.000 0.000 0.000
0.750 0.250 0.500
```

Output
- crystal system = tetragonal
- E (eV per atom) = -4.736
- total moment (μB per formula unit) = 1.6
- ΔE_f (eV per atom) = 0.445
- symmetry = No. 122
- mass density (g cm⁻³) = 8.43

=====

Entry 17:
VASP calculation (PBE-GGA) on an optimized crystal structure of DyEr3Tl4.

Geometry as POSCAR:
```
DyEr3Tl4
1.0
-2.021 3.161 -0.359
-0.831 -0.935 -3.556
-12.288 -7.311 4.795
Tl Er Dy
4 3 1
direct
0.000 0.000 0.376
0.000 0.000 0.624
0.000 0.000 0.127
0.000 0.000 0.873
0.500 0.500 0.749
0.500 0.500 0.251
0.500 0.500 0.500
0.500 0.500 0.000
```

Output
- crystal system = tetragonal
- E (eV per atom) = -3.790
- total moment (μB per formula unit) = 0.0
- ΔE_f (eV per atom) = -0.320
- E above lowest polymorph (meV per atom) = 0
- symmetry = No. 123
- mass density (g cm⁻³) = 11.48

=====

Entry 18:
VASP calculation (PBE-GGA) on an optimized crystal structure of Ce2Er6Tm5.

Geometry as POSCAR:
```
Ce2Er6Tm5
1.0
3.520 0.000 0.000
0.000 11.434 0.000
0.000 0.000 20.012
Tm Er Ce
10 12 4
direct
0.500 0.198 0.938
0.500 0.585 0.284
0.500 0.000 0.500
0.500 0.802 0.062
0.500 0.500 0.000
0.500 0.302 0.438
0.500 0.415 0.716
0.500 0.698 0.562
0.500 0.085 0.216
0.500 0.915 0.784
0.500 0.319 0.126
0.000 0.067 0.072
0.500 0.681 0.874
0.000 0.933 0.928
0.000 0.567 0.428
0.000 0.426 0.860
0.500 0.181 0.626
0.000 0.074 0.360
0.000 0.574 0.140
0.000 0.926 0.640
0.000 0.433 0.572
0.500 0.819 0.374
0.000 0.175 0.776
0.000 0.675 0.724
0.000 0.825 0.224
0.000 0.325 0.276
```

Output
- crystal system = orthorhombic
- E (eV per atom) = -4.605
- total moment (μB per formula unit) = 1.4
- ΔE_f (eV per atom) = 0.134
- symmetry = No. 55
- mass density (g cm⁻³) = 8.78